The following is a PBE calculation of a relaxed HoBAu crystal, from OQMD.

## Properties
Total energy (eV/atom): -4.267
Space group: F-43m, No. 216
Total magnetization (μB/f.u.): 0.00

Unit cell a=4.5094 b=4.5094 c=4.5094 alpha=60.00 beta=60.00 gamma=60.00
Element x y z (fractional)
B  0.2500  0.2500  0.2500
Au  0.7500  0.7500  0.7500
Ho  0.0000  0.0000  0.0000